Entry 1:
DFT (PBE) results for a relaxed structure of Pm3Cu2Si4.

Symmetry   C2/m, No. 12

Cell: 5.8270 5.8270 8.1871 Å, 99.11 99.11 41.09°
Fractional coordinates of all 9 atoms:
Pm (0.0000, 0.0000, 0.0000)
Pm (0.3376, 0.3376, 0.3323)
Pm (0.6624, 0.6624, 0.6677)
Cu (0.3887, 0.3887, 0.7185)
Cu (0.6113, 0.6113, 0.2815)
Si (0.0588, 0.0588, 0.3884)
Si (0.2822, 0.2822, 0.9404)
Si (0.7178, 0.7178, 0.0596)
Si (0.9412, 0.9412, 0.6116)

Entry 2:
DFT (PBE) results for a relaxed structure of Pm2CuSi3.

Symmetry   Fmmm, No. 69

Cell: 8.1590 8.0720 5.8308 Å, 69.75 68.15 42.10°
Fractional coordinates of all 12 atoms:
Pm (0.2433, 0.7567, 0.2433)
Pm (0.2500, 0.2500, 0.2500)
Pm (0.7500, 0.7500, 0.7500)
Pm (0.7567, 0.2433, 0.7567)
Cu (0.3337, 0.3337, 0.6663)
Cu (0.6663, 0.6663, 0.3337)
Si (0.1689, 0.1689, 0.8311)
Si (0.1706, 0.6605, 0.8294)
Si (0.3395, 0.8294, 0.6605)
Si (0.6605, 0.1706, 0.3395)
Si (0.8294, 0.3395, 0.1706)
Si (0.8311, 0.8311, 0.1689)

Electronic total energy list, top to bottom, in eV/cell: -49.92; -68.03
V list, top to bottom, in Å³/atom: 20.01; 19.79